No. 1
Here is PmNi4Rh after structural relaxation from the Alexandria database. Energies are from PBE-GGA.

Summary:
formation energy from the elements	-0.1820	eV per atom
raw total energy	-36.32	eV per cell
energy relative to the lowest polymorph listed for this composition	0.0000	eV per atom

a b c (Å): 4.9293 4.9293 4.9293
angles (deg): 60.00 60.00 60.00
Closest atoms and distances in Å follow each position.
Atoms (fractional coordinates):
1 Ni 0.6236 0.6236 0.6236  6 Ni 2.44-2.49
2 Ni 0.1291 0.6236 0.6236  6 Ni 2.44-2.49
3 Pm 0.0000 0.0000 0.0000  12 Ni 2.89, 4 Rh 3.02
4 Ni 0.6236 0.6236 0.1291  6 Ni 2.44-2.49
5 Ni 0.6236 0.1291 0.6236  6 Ni 2.44-2.49
6 Rh 0.2500 0.2500 0.2500  12 Ni 2.89, 4 Pm 3.02

No. 2
Here is Pm12NiRh6 after structural relaxation from the Alexandria database. Energies are from PBE-GGA.

Summary:
formation energy from the elements	-0.4831	eV per atom
raw total energy	-116.08	eV per cell

a b c (Å): 8.3074 8.3074 8.3074
angles (deg): 99.81 99.81 99.81
Closest atoms and distances in Å follow each position.
Atoms (fractional coordinates):
1 Ni 0.0000 0.0000 0.0000  6 Pm 2.74
2 Rh 0.8671 0.3828 0.6934  6 Pm 2.80-3.05
3 Rh 0.1329 0.6172 0.3066  6 Pm 2.80-3.05
4 Pm 0.5797 0.1769 0.4166  4 Rh 2.80-3.05
5 Rh 0.6934 0.8671 0.3828  6 Pm 2.80-3.05
6 Pm 0.5834 0.4203 0.8231  4 Rh 2.80-3.05
7 Rh 0.3828 0.6934 0.8671  6 Pm 2.80-3.05
8 Rh 0.3066 0.1329 0.6172  6 Pm 2.80-3.05
9 Pm 0.3206 0.0796 0.9532  1 Ni 2.74, 2 Rh 2.84-2.89
10 Pm 0.9204 0.0468 0.6794  1 Ni 2.74, 2 Rh 2.84-2.89
11 Pm 0.8231 0.5834 0.4203  4 Rh 2.80-3.05
12 Pm 0.0796 0.9532 0.3206  1 Ni 2.74, 2 Rh 2.84-2.89
13 Pm 0.6794 0.9204 0.0468  1 Ni 2.74, 2 Rh 2.84-2.89
14 Pm 0.9532 0.3206 0.0796  1 Ni 2.74, 2 Rh 2.84-2.89
15 Pm 0.1769 0.4166 0.5797  4 Rh 2.80-3.05
16 Rh 0.6172 0.3066 0.1329  6 Pm 2.80-3.05
17 Pm 0.0468 0.6794 0.9204  1 Ni 2.74, 2 Rh 2.84-2.89
18 Pm 0.4166 0.5797 0.1769  4 Rh 2.80-3.05
19 Pm 0.4203 0.8231 0.5834  4 Rh 2.80-3.05

No. 3
Here is PmNiRh2 after structural relaxation from the Alexandria database. Energies are from PBE-GGA.

Summary:
formation energy from the elements	-0.2840	eV per atom
raw total energy	-26.37	eV per cell

a b c (Å): 4.0112 4.0801 4.0801
angles (deg): 90.00 90.00 90.00
Closest atoms and distances in Å follow each position.
Atoms (fractional coordinates):
1 Ni 0.5000 0.0000 0.0000  8 Rh 2.86, 4 Pm 2.89
2 Rh 0.0000 0.0000 0.5000  4 Pm 2.86, 4 Ni 2.86, 4 Rh 2.89
3 Pm 0.5000 0.5000 0.5000  8 Rh 2.86, 4 Ni 2.89
4 Rh 0.0000 0.5000 0.0000  4 Pm 2.86, 4 Ni 2.86, 4 Rh 2.89

No. 4
Here is Pm2Ni9Rh after structural relaxation from the Alexandria database. Energies are from PBE-GGA.

Summary:
formation energy from the elements	-0.0832	eV per atom
raw total energy	-69.88	eV per cell

a b c (Å): 4.9325 4.9325 8.5555
angles (deg): 73.25 73.25 60.00
Closest atoms and distances in Å follow each position.
Atoms (fractional coordinates):
1 Ni 0.5795 0.0800 0.7609  7 Ni 2.39-2.54
2 Pm 0.8677 0.8677 0.3968  9 Ni 2.78-2.97
3 Ni 0.3329 0.3329 0.0013  6 Ni 2.39-2.40
4 Pm 0.1323 0.1323 0.6032  9 Ni 2.78-2.97
5 Rh 0.0000 0.0000 0.0000  18 Ni 2.85-3.13
6 Ni 0.5000 0.5000 0.5000  6 Ni 2.54
7 Ni 0.4205 0.4205 0.2391  7 Ni 2.39-2.54
8 Ni 0.9200 0.4205 0.2391  7 Ni 2.39-2.54
9 Ni 0.4205 0.9200 0.2391  7 Ni 2.39-2.54
10 Ni 0.5795 0.5795 0.7609  7 Ni 2.39-2.54
11 Ni 0.0800 0.5795 0.7609  7 Ni 2.39-2.54
12 Ni 0.6671 0.6671 0.9987  6 Ni 2.39-2.40

> What is the raw total energy in the first record?

-36.32 eV per cell